Entry 1:
Here is a relaxed structure of CsCa2Bi2 from Alexandria via LeMat-Bulk. Energies are from PBEsol.

Lattice parameters (Å, degrees): 9.556 9.556 3.699 90.00 90.00 90.00
Space group P4/mbm (No. 127)
Symmetry-distinct sites (fractional):
Cs 0.000 0.000 0.000
Ca 0.131 0.369 0.000
Bi 0.163 0.663 0.500

Formation energy from the elements, eV per atom: -0.72

Entry 2:
Here is a relaxed structure of CsCa3Bi from Alexandria via LeMat-Bulk. Energies are from PBEsol.

Lattice parameters (Å, degrees): 5.674 5.674 5.674 90.00 90.00 90.00
Space group Pm-3m (No. 221)
Symmetry-distinct sites (fractional):
Cs 0.000 0.000 0.000
Ca 0.000 0.000 0.500
Bi 0.500 0.500 0.500

Formation energy from the elements, eV per atom: 0.83